# LaTbPm2Nd (PBE-GGA, relaxed)
# Total DFT energy (no corrections)   -0.331 Ry/atom
# ΔE_f   0.2608 eV/atom
data_LaTbPm2Nd
_space_group_name_H-M_alt 'P 1 2/c 1'
_space_group_IT_number 13
_space_group_name_Hall '-P 2yc'
_cell_length_a 8.516
_cell_length_b 6.696
_cell_length_c 6.325
_cell_angle_alpha 90.00
_cell_angle_beta 96.28
_cell_angle_gamma 90.00
loop_
_atom_site_label
_atom_site_type_symbol
_atom_site_fract_x
_atom_site_fract_y
_atom_site_fract_z
_atom_site_occupancy
La1 La 0.000 0.000 0.000 1
Tb1 Tb 0.000 0.432 0.250 1
Pm1 Pm 0.309 0.316 0.712 1
Nd1 Nd 0.500 0.163 0.250 1

# SrPrSi2 (PBE-GGA, relaxed)
# ΔE_f (raw)   -0.557 eV per atom
# Total DFT energy (no corrections)   -0.359 Ry/atom
data_SrPrSi2
_space_group_name_H-M_alt 'P m c 21'
_space_group_IT_number 26
_space_group_name_Hall 'P 2c -2'
_cell_length_a 3.981
_cell_length_b 6.086
_cell_length_c 8.553
_cell_angle_alpha 90.00
_cell_angle_beta 90.00
_cell_angle_gamma 90.00
loop_
_atom_site_label
_atom_site_type_symbol
_atom_site_fract_x
_atom_site_fract_y
_atom_site_fract_z
_atom_site_occupancy
Sr1 Sr 0.000 0.138 0.000 1
Pr1 Pr 0.500 0.360 0.359 1
Si1 Si 0.000 0.378 0.644 1
Si2 Si 0.500 0.149 0.709 1

# Rb4MgH6 (PBE-GGA, relaxed)
# Total DFT energy (no corrections)   -0.183 Ry/atom
data_Rb4MgH6
_space_group_name_H-M_alt 'P 4/m n c'
_space_group_IT_number 128
_space_group_name_Hall '-P 4 2n'
_cell_length_a 7.791
_cell_length_b 7.791
_cell_length_c 8.166
_cell_angle_alpha 90.00
_cell_angle_beta 90.00
_cell_angle_gamma 90.00
loop_
_atom_site_label
_atom_site_type_symbol
_atom_site_fract_x
_atom_site_fract_y
_atom_site_fract_z
_atom_site_occupancy
Rb1 Rb 0.173 0.327 0.250 1
Mg1 Mg 0.000 0.000 0.000 1
H1 H 0.000 0.000 0.241 1
H2 H 0.082 0.741 0.000 1

# Ge3TeH (PBE-GGA, relaxed)
# Total DFT energy (no corrections)   -0.263 Ry/atom
data_Ge3TeH
_space_group_name_H-M_alt 'P m -3 m'
_space_group_IT_number 221
_space_group_name_Hall '-P 4 2 3'
_cell_length_a 4.532
_cell_length_b 4.532
_cell_length_c 4.532
_cell_angle_alpha 90.00
_cell_angle_beta 90.00
_cell_angle_gamma 90.00
loop_
_atom_site_label
_atom_site_type_symbol
_atom_site_fract_x
_atom_site_fract_y
_atom_site_fract_z
_atom_site_occupancy
Ge1 Ge 0.000 0.000 0.500 1
Te1 Te 0.500 0.500 0.500 1
H1 H 0.000 0.000 0.000 1

# GeIrI3 (PBE-GGA, relaxed)
# ΔE_f (raw)   0.556 eV per atom
# Total DFT energy (no corrections)   -0.226 Ry/atom
data_GeIrI3
_space_group_name_H-M_alt 'P m -3 m'
_space_group_IT_number 221
_space_group_name_Hall '-P 4 2 3'
_cell_length_a 5.393
_cell_length_b 5.393
_cell_length_c 5.393
_cell_angle_alpha 90.00
_cell_angle_beta 90.00
_cell_angle_gamma 90.00
loop_
_atom_site_label
_atom_site_type_symbol
_atom_site_fract_x
_atom_site_fract_y
_atom_site_fract_z
_atom_site_occupancy
Ge1 Ge 0.000 0.000 0.000 1
Ir1 Ir 0.500 0.500 0.500 1
I1 I 0.000 0.500 0.500 1

# K2U2SnTe6 (PBE-GGA, relaxed)
# ΔE_f (raw)   -0.746 eV per atom
# Total DFT energy (no corrections)   -0.373 Ry/atom
data_K2U2SnTe6
_space_group_name_H-M_alt 'C 1 2/m 1'
_space_group_IT_number 12
_space_group_name_Hall '-C 2y'
_cell_length_a 7.804
_cell_length_b 13.606
_cell_length_c 8.662
_cell_angle_alpha 90.00
_cell_angle_beta 106.83
_cell_angle_gamma 90.00
loop_
_atom_site_label
_atom_site_type_symbol
_atom_site_fract_x
_atom_site_fract_y
_atom_site_fract_z
_atom_site_occupancy
K1 K 0.000 0.161 0.000 1
U1 U 0.000 0.333 0.500 1
Sn1 Sn 0.000 0.000 0.500 1
Te1 Te 0.216 0.500 0.706 1
Te2 Te 0.239 0.173 0.704 1

- What is the formula in the first record?
  LaTbPm2Nd

- Which value of total DFT energy (no corrections) does entry 5 give?
  -0.226 Ry/atom

- What is the total DFT energy (no corrections) in the third record?
  -0.183 Ry/atom

- What is the total DFT energy (no corrections) in the fifth record?
  -0.226 Ry/atom